A relaxed structure of SbAs2Cl. Source: the Alexandria database, functional GGA-PBE.

Cell: 3.399 3.399 10.144 Å, 90.00 90.00 119.58°
Fractional coordinates of all 4 atoms:
Cl 0.000 0.000 0.529
As 0.000 0.000 0.030
As 0.500 0.500 0.203
Sb 0.500 0.500 0.738

Values from the calculation:
offset from the most stable computed form = 1.07 eV/f.u.
DFT total energy = -3.672 eV per atom
spin magnetization = 0.000 μB per cell


A relaxed structure of Sb2AsCl. Source: the Alexandria database, functional GGA-PBE.

Cell: 9.097 6.638 3.104 Å, 61.41 110.93 140.23°
Fractional coordinates of all 4 atoms:
Sb 0.500 0.000 0.500
As 0.000 0.500 0.500
Sb 0.000 0.000 0.000
Cl 0.500 0.500 0.000

Values from the calculation:
offset from the most stable computed form = 0.62 eV/f.u.
DFT total energy = -3.680 eV per atom
spin magnetization = 0.000 μB per cell


A relaxed structure of Sb2AsCl. Source: the Alexandria database, functional GGA-PBE.

Cell: 5.346 4.414 5.316 Å, 67.58 90.00 90.00°
Fractional coordinates of all 4 atoms:
Sb 0.500 0.259 0.273
Cl 0.500 0.752 0.752
As 0.000 0.419 0.410
Sb 0.000 0.070 0.065

Values from the calculation:
offset from the most stable computed form = 0.23 eV/f.u.
DFT total energy = -3.777 eV per atom
spin magnetization = 0.000 μB per cell


A relaxed structure of Sr3SbAsCl. Source: the Alexandria database, functional GGA-PBE.

Cell: 8.927 8.927 6.898 Å, 69.53 69.53 68.44°
Fractional coordinates of all 12 atoms:
As 0.068 0.068 0.797
Cl 0.337 0.663 0.500
Sb 0.295 0.295 0.085
Sr 0.313 0.313 0.553
Sb 0.705 0.705 0.915
Cl 0.663 0.337 0.500
Sr 0.088 0.699 0.887
As 0.932 0.932 0.203
Sr 0.687 0.687 0.447
Sr 0.912 0.301 0.113
Sr 0.699 0.088 0.887
Sr 0.301 0.912 0.113

Values from the calculation:
DFT total energy = -3.840 eV per atom
spin magnetization = 0.000 μB per cell


A relaxed structure of SbTe2AsCl. Source: the Alexandria database, functional GGA-PBE.

Cell: 5.475 5.475 5.410 Å, 90.00 90.00 90.00°
Fractional coordinates of all 5 atoms:
Te 0.000 0.500 0.000
Cl 0.500 0.500 0.500
Te 0.500 0.000 0.000
As 0.000 0.000 0.000
Sb 0.000 0.000 0.500

Values from the calculation:
offset from the most stable computed form = 0.00 eV/f.u.
DFT total energy = -2.882 eV per atom
spin magnetization = 0.000 μB per cell


A relaxed structure of SbTe2AsCl. Source: the Alexandria database, functional GGA-PBE.

Cell: 5.429 5.429 5.234 Å, 90.00 90.00 90.00°
Fractional coordinates of all 5 atoms:
Te 0.000 0.500 0.000
Te 0.500 0.000 0.000
Sb 0.000 0.000 0.500
As 0.500 0.500 0.500
Cl 0.000 0.000 0.000

Values from the calculation:
offset from the most stable computed form = 2.44 eV/f.u.
DFT total energy = -2.393 eV per atom
spin magnetization = 0.000 μB per cell